# 1
A plane-wave DFT calculation with PBE-GGA was carried out for a geometry-optimized Pm8Sm3Tm4 structure.

* crystal system: monoclinic
* E_form: 343 meV per atom

Unit cell a=9.1754 b=9.1754 c=6.8507 alpha=110.26 beta=110.26 gamma=83.48
Positions (direct):
Pm 0.2036 0.2036 0.1685
Pm 0.2053 0.7947 0.0000
Pm 0.2535 0.7465 0.5000
Pm 0.2569 0.2569 0.6995
Pm 0.7431 0.7431 0.3005
Pm 0.7465 0.2535 0.5000
Pm 0.7947 0.2053 0.0000
Pm 0.7964 0.7964 0.8315
Sm 0.0000 0.0000 0.5000
Sm 0.0000 0.5000 0.0000
Sm 0.5000 0.0000 0.0000
Tm 0.0000 0.5000 0.5000
Tm 0.5000 0.0000 0.5000
Tm 0.5000 0.5000 0.0000
Tm 0.5000 0.5000 0.5000

---

# 2
A plane-wave DFT calculation with PBE-GGA was carried out for a geometry-optimized V4CrW structure.

* crystal system: orthorhombic
* E_form: 1002 meV per atom
* energy above the most stable polymorph in this dataset: 880.5 meV per atom

Unit cell a=6.0912 b=6.0912 c=2.7638 alpha=90.00 beta=90.00 gamma=90.92
Positions (direct):
V 0.2231 0.7769 0.0000
V 0.2501 0.2501 0.5000
V 0.7499 0.7499 0.5000
V 0.7769 0.2231 0.0000
Cr 0.0000 0.0000 0.5000
W 0.5000 0.5000 0.0000

---

# 3
A plane-wave DFT calculation with PBE-GGA was carried out for a geometry-optimized Pm12SmTm6 structure.

* crystal system: trigonal
* E_form: 136 meV per atom
* energy above the most stable polymorph in this dataset: 0.0 meV per atom

Unit cell a=8.6181 b=8.6181 c=8.6181 alpha=88.80 beta=88.80 gamma=88.80
Positions (direct):
Pm 0.0167 0.1961 0.3631
Pm 0.1961 0.3631 0.0167
Pm 0.2191 0.4632 0.5666
Pm 0.3631 0.0167 0.1961
Pm 0.4334 0.7809 0.5368
Pm 0.4632 0.5666 0.2191
Pm 0.5368 0.4334 0.7809
Pm 0.5666 0.2191 0.4632
Pm 0.6369 0.9833 0.8039
Pm 0.7809 0.5368 0.4334
Pm 0.8039 0.6369 0.9833
Pm 0.9833 0.8039 0.6369
Sm 0.0000 0.0000 0.0000
Tm 0.0999 0.7011 0.2584
Tm 0.2584 0.0999 0.7011
Tm 0.2989 0.7416 0.9001
Tm 0.7011 0.2584 0.0999
Tm 0.7416 0.9001 0.2989
Tm 0.9001 0.2989 0.7416

---

# 4
A plane-wave DFT calculation with PBE-GGA was carried out for a geometry-optimized FeNi2Ir structure.

* crystal system: orthorhombic
* E_form: -46 meV per atom

Unit cell a=4.1901 b=5.1575 c=4.5180 alpha=90.00 beta=90.00 gamma=90.00
Positions (direct):
Fe 0.2500 0.2500 0.1673
Fe 0.7500 0.7500 0.8327
Ni 0.2500 0.0008 0.6605
Ni 0.2500 0.4992 0.6605
Ni 0.7500 0.5008 0.3395
Ni 0.7500 0.9992 0.3395
Ir 0.2500 0.7500 0.1681
Ir 0.7500 0.2500 0.8319

---

# 5
A plane-wave DFT calculation with PBE-GGA was carried out for a geometry-optimized Na4Np3IrN8 structure.

* crystal system: trigonal
* ΔE_f (raw): -0.581 eV per atom

Unit cell a=6.8707 b=6.8707 c=6.8707 alpha=58.22 beta=58.22 gamma=58.22
Positions (direct):
Na 0.0000 0.0000 0.0000
Na 0.0000 0.5000 0.5000
Na 0.5000 0.0000 0.5000
Na 0.5000 0.5000 0.0000
Np 0.0000 0.0000 0.5000
Np 0.0000 0.5000 0.0000
Np 0.5000 0.0000 0.0000
Ir 0.5000 0.5000 0.5000
N 0.2239 0.7329 0.7329
N 0.2289 0.2289 0.2289
N 0.2671 0.2671 0.7761
N 0.2671 0.7761 0.2671
N 0.7329 0.2239 0.7329
N 0.7329 0.7329 0.2239
N 0.7711 0.7711 0.7711
N 0.7761 0.2671 0.2671

---

# 6
A plane-wave DFT calculation with PBE-GGA was carried out for a geometry-optimized InSbBr2 structure.

* crystal system: monoclinic
* energy above the most stable polymorph in this dataset: 61.7 meV per atom
* ΔE_f (raw): -0.288 eV per atom

Unit cell a=6.0708 b=6.0708 c=6.1816 alpha=100.09 beta=100.09 gamma=34.72
Positions (direct):
In 0.0000 0.0000 0.0000
Sb 0.6635 0.6635 0.3342
Br 0.2940 0.2940 0.9765
Br 0.4958 0.4958 0.5787

---

# 7
A plane-wave DFT calculation with PBE-GGA was carried out for a geometry-optimized Ca2NpPtO6 structure.

* crystal system: monoclinic
* ΔE_f (raw): -2.459 eV per atom

Unit cell a=6.2410 b=6.2410 c=5.1272 alpha=111.94 beta=111.94 gamma=53.33
Positions (direct):
Ca 0.2406 0.2406 0.1967
Ca 0.7594 0.7594 0.8033
Np 0.5000 0.5000 0.0000
Pt 0.0000 0.0000 0.5000
O 0.1518 0.6680 0.1814
O 0.3267 0.3267 0.6835
O 0.3320 0.8482 0.8186
O 0.6680 0.1518 0.1814
O 0.6733 0.6733 0.3165
O 0.8482 0.3320 0.8186

---

# 8
A plane-wave DFT calculation with PBE-GGA was carried out for a geometry-optimized CaTm2Te4 structure.

* crystal system: orthorhombic
* energy above the most stable polymorph in this dataset: 3.7 meV per atom
* ΔE_f (raw): -1.440 eV per atom

Unit cell a=8.7503 b=8.7503 c=8.7503 alpha=119.78 beta=118.89 gamma=91.16
Positions (direct):
Ca 0.0000 0.0000 0.0000
Ca 0.5000 0.0000 0.5000
Tm 0.0000 0.5000 0.5000
Tm 0.5000 0.0000 0.0000
Tm 0.5000 0.5000 0.0000
Tm 0.5000 0.5000 0.5000
Te 0.2472 0.2557 0.5086
Te 0.2472 0.7386 0.9914
Te 0.2548 0.7457 0.5090
Te 0.2633 0.2543 0.0090
Te 0.7367 0.7457 0.9910
Te 0.7452 0.2543 0.4910
Te 0.7528 0.2614 0.0086
Te 0.7528 0.7443 0.4914